No. 1
This record from the Alexandria database describes TaTeI2Cl after structural relaxation. The functional is PBE.

Computed properties:
Formation energy from raw total energies ... 0.048 eV per atom
ΔE to the lowest computed polymorph ... 0 meV/atom
Magnetic moment ... 0.00 μB/cell

```
data_TaTeI2Cl
_space_group_name_H-M_alt 'P 4/m m m'
_space_group_IT_number 123
_space_group_name_Hall '-P 4 2'
_cell_length_a 5.505
_cell_length_b 5.505
_cell_length_c 5.369
_cell_angle_alpha 90.00
_cell_angle_beta 90.00
_cell_angle_gamma 90.00
loop_
_atom_site_label
_atom_site_fract_x
_atom_site_fract_y
_atom_site_fract_z
Ta1 0.000 0.000 0.000
Te1 0.000 0.000 0.500
I1 0.000 0.500 0.000
Cl1 0.500 0.500 0.500
```

---

No. 2
This record from the Alexandria database describes TaTeI2Cl after structural relaxation. The functional is PBE.

Computed properties:
Formation energy from raw total energies ... 1.412 eV per atom
ΔE to the lowest computed polymorph ... 1364 meV/atom
Magnetic moment ... 2.96 μB/cell

```
data_TaTeI2Cl
_space_group_name_H-M_alt 'P 4/m m m'
_space_group_IT_number 123
_space_group_name_Hall '-P 4 2'
_cell_length_a 5.372
_cell_length_b 5.372
_cell_length_c 5.751
_cell_angle_alpha 90.00
_cell_angle_beta 90.00
_cell_angle_gamma 90.00
loop_
_atom_site_label
_atom_site_fract_x
_atom_site_fract_y
_atom_site_fract_z
Ta1 0.000 0.000 0.000
Te1 0.500 0.500 0.000
I1 0.000 0.500 0.500
Cl1 0.500 0.500 0.500
```

---

No. 3
This record from the Alexandria database describes TaTiI2Cl after structural relaxation. The functional is PBE.

Computed properties:
Formation energy from raw total energies ... 0.640 eV per atom
Magnetic moment ... 1.46 μB/cell

```
data_TaTiI2Cl
_space_group_name_H-M_alt 'P 4/m m m'
_space_group_IT_number 123
_space_group_name_Hall '-P 4 2'
_cell_length_a 5.323
_cell_length_b 5.323
_cell_length_c 5.100
_cell_angle_alpha 90.00
_cell_angle_beta 90.00
_cell_angle_gamma 90.00
loop_
_atom_site_label
_atom_site_fract_x
_atom_site_fract_y
_atom_site_fract_z
Ta1 0.000 0.000 0.000
Ti1 0.000 0.000 0.500
I1 0.000 0.500 0.500
Cl1 0.500 0.500 0.000
```

---

No. 4
This record from the Alexandria database describes TaTlICl6 after structural relaxation. The functional is PBE.

Computed properties:
Formation energy from raw total energies ... -1.011 eV per atom
Magnetic moment ... 2.00 μB/cell

```
data_TaTlICl6
_space_group_name_H-M_alt 'C 1 2 1'
_space_group_IT_number 5
_cell_length_a 7.643
_cell_length_b 13.235
_cell_length_c 8.168
_cell_angle_alpha 90.00
_cell_angle_beta 90.09
_cell_angle_gamma 90.00
loop_
_space_group_symop_operation_xyz
'x,y,z'
'-x,y,-z'
'x+1/2,y+1/2,z'
'-x+1/2,y+1/2,-z'
loop_
_atom_site_label
_atom_site_fract_x
_atom_site_fract_y
_atom_site_fract_z
Ta1 0.000 0.000 0.000
Tl1 0.000 0.667 0.000
I1 0.000 0.333 0.500
Cl1 0.126 0.873 0.831
Cl2 0.127 0.126 0.831
Cl3 0.247 0.500 0.831
```

---

> formation energy from raw total energies of number 3 (TaTiI2Cl)?

0.640 eV per atom

---

> Look up the formation energy from raw total energies of the fourth one.

-1.011 eV per atom

---

Copy entry 4 word for word.
This record from the Alexandria database describes TaTlICl6 after structural relaxation. The functional is PBE.

Computed properties:
Formation energy from raw total energies ... -1.011 eV per atom
Magnetic moment ... 2.00 μB/cell

```
data_TaTlICl6
_space_group_name_H-M_alt 'C 1 2 1'
_space_group_IT_number 5
_cell_length_a 7.643
_cell_length_b 13.235
_cell_length_c 8.168
_cell_angle_alpha 90.00
_cell_angle_beta 90.09
_cell_angle_gamma 90.00
loop_
_space_group_symop_operation_xyz
'x,y,z'
'-x,y,-z'
'x+1/2,y+1/2,z'
'-x+1/2,y+1/2,-z'
loop_
_atom_site_label
_atom_site_fract_x
_atom_site_fract_y
_atom_site_fract_z
Ta1 0.000 0.000 0.000
Tl1 0.000 0.667 0.000
I1 0.000 0.333 0.500
Cl1 0.126 0.873 0.831
Cl2 0.127 0.126 0.831
Cl3 0.247 0.500 0.831
```